A plane-wave DFT calculation with PBE-GGA was carried out for an optimized crystal structure of Cs2ErCu2Cl6.

Structure (CIF):
```
data_Cs2ErCu2Cl6
_symmetry_space_group_name_H-M 'C 1 2/m 1'
_symmetry_Int_Tables_number 12
_symmetry_space_group_name_Hall '-C 2y'
_cell_length_a 12.9017
_cell_length_b 7.3584
_cell_length_c 8.5762
_cell_angle_alpha 90.00
_cell_angle_beta 122.84
_cell_angle_gamma 90.00
loop_
_atom_site_label
_atom_site_type_symbol
_atom_site_fract_x
_atom_site_fract_y
_atom_site_fract_z
_atom_site_occupancy
Cs1 Cs 0.2107 0.0000 0.1978 1
Er1 Er 0.0000 0.0000 0.5000 1
Cu1 Cu 0.0416 0.5000 0.1645 1
Cl1 Cl 0.0368 0.2448 0.7492 1
Cl2 Cl 0.2373 0.0000 0.6304 1
```



A plane-wave DFT calculation with PBE-GGA was carried out for an optimized crystal structure of RbCeMg2Cl8.

Structure (CIF):
```
data_RbCeMg2Cl8
_symmetry_space_group_name_H-M 'P -1'
_symmetry_Int_Tables_number 2
_symmetry_space_group_name_Hall '-P 1'
_cell_length_a 6.6184
_cell_length_b 6.6796
_cell_length_c 9.3138
_cell_angle_alpha 76.50
_cell_angle_beta 77.57
_cell_angle_gamma 76.42
loop_
_atom_site_label
_atom_site_type_symbol
_atom_site_fract_x
_atom_site_fract_y
_atom_site_fract_z
_atom_site_occupancy
Rb1 Rb 0.0000 0.0000 0.0000 1
Ce1 Ce 0.0000 0.0000 0.5000 1
Mg1 Mg 0.4611 0.4537 0.2057 1
Cl1 Cl 0.1907 0.7236 0.7322 1
Cl2 Cl 0.2433 0.7768 0.2824 1
Cl3 Cl 0.2920 0.2495 0.4406 1
Cl4 Cl 0.3621 0.3143 0.0210 1
```



| no. | total magnetization (μB per cell) | formation energy (no corrections) (meV/atom) |
| --- | --- | --- |
| 1 | 2.02 | -1459 |
| 2 | 1.00 | -1945 |